[1]
Material: K2IrCl4
Method: DFT, GGA-PBE
State: optimized geometry

Output
Crystal system: tetragonal
E_form (uncorrected) (meV per atom): -1128
Size of the total moment (μB/cell): 2.01

CIF file:
```
data_K2IrCl4
_cell_length_a 7.170
_cell_length_b 7.170
_cell_length_c 8.483
_cell_angle_alpha 90.00
_cell_angle_beta 90.00
_cell_angle_gamma 90.00
_symmetry_space_group_name_H-M 'I 4/m m m'
_symmetry_Int_Tables_number 139
_symmetry_space_group_name_Hall '-I 4 2'
loop_
_atom_site_label
_atom_site_fract_x
_atom_site_fract_y
_atom_site_fract_z
K1 0.000 0.500 0.250
Ir1 0.000 0.000 0.000
Cl1 0.229 0.229 0.000
```

---

[2]
Material: Hf3NbIn2
Method: DFT, GGA-PBE
State: optimized geometry

Output
Crystal system: orthorhombic
E_form (eV per atom): -0.15
Size of the total moment (μB/cell): 0.00

CIF file:
```
data_Hf3NbIn2
_cell_length_a 4.589
_cell_length_b 14.171
_cell_length_c 3.899
_cell_angle_alpha 90.00
_cell_angle_beta 90.00
_cell_angle_gamma 90.00
_symmetry_space_group_name_H-M 'C m m m'
_symmetry_Int_Tables_number 65
_symmetry_space_group_name_Hall '-C 2 2'
loop_
_atom_site_label
_atom_site_fract_x
_atom_site_fract_y
_atom_site_fract_z
Hf1 0.000 0.000 0.000
Hf2 0.000 0.336 0.000
Nb1 0.000 0.500 0.500
In1 0.000 0.161 0.500
```